## ZrSiBr (PBE-GGA)

Data for crystalline ZrSiBr at its relaxed geometry.

Unit cell a=4.6630 b=4.6630 c=4.6630 alpha=60.00 beta=60.00 gamma=60.00
Last column: nearest neighbours and their distance in Å.
Atoms (fractional coordinates):
1 Br 0.5000 0.5000 0.5000  4 Si 2.86
2 Zr 0.0000 0.0000 0.0000  4 Si 2.86
3 Si 0.7500 0.7500 0.7500  4 Br 2.86, 4 Zr 2.86

## Properties
DOS at the Fermi energy, states/eV per cell: 3.72
Spin magnetization, μB/cell: 0.0
Raw total energy, eV/atom: -4.7641
Raw formation energy, eV per atom: 0.451